DFT (PBE+U) results for MnZn2CdO4 after structural relaxation.

Values from the calculation:
The uncorrected energy is -5.194 eV/atom. The value obtained for the magnetic moment is 5.0 μB/f.u.

Cell and atoms, written as CIF:
```
data_MnZn2CdO4
_chemical_formula_sum 'Mn2 Zn4 Cd2 O8'
_cell_length_a 4.792
_cell_length_b 4.792
_cell_length_c 9.668
_cell_angle_alpha 90.00
_cell_angle_beta 90.00
_cell_angle_gamma 90.00
_symmetry_space_group_name_H-M 'I -4 2 m'
_symmetry_Int_Tables_number 121
_symmetry_space_group_name_Hall 'I -4 2'
loop_
_atom_site_label
_atom_site_type_symbol
_atom_site_fract_x
_atom_site_fract_y
_atom_site_fract_z
Mn1 Mn 0.000 0.000 0.000
Zn1 Zn 0.000 0.500 0.250
Cd1 Cd 0.000 0.000 0.500
O1 O 0.237 0.237 0.137
```